# PBE-GGA Na3Tm3SbTe8, optimized geometry
data_Na3Tm3SbTe8
_chemical_formula_sum 'Na3 Tm3 Sb1 Te8'
_symmetry_space_group_name_H-M 'P 1'
_symmetry_Int_Tables_number 1
_cell_length_a 8.6865
_cell_length_b 8.6972
_cell_length_c 9.1603
_cell_angle_alpha 118.42
_cell_angle_beta 89.99
_cell_angle_gamma 119.98
loop_
_symmetry_equiv_pos_as_xyz
'x,y,z'
loop_
_atom_site_label
_atom_site_type_symbol
_atom_site_fract_x
_atom_site_fract_y
_atom_site_fract_z
Na1 Na 0.0000 0.0000 0.0000
Na2 Na 0.0000 0.5000 0.0000
Na3 Na 0.5000 0.5000 0.0000
Tm1 Tm 0.5000 0.0000 0.5000
Tm2 Tm 0.5000 0.5000 0.5000
Tm3 Tm 0.0000 0.5000 0.5000
Sb1 Sb 0.0000 0.0000 0.5000
Te1 Te 0.2568 0.5135 0.2706
Te2 Te 0.7432 0.4865 0.7294
Te3 Te 0.7573 0.5146 0.2728
Te4 Te 0.2427 0.4854 0.7272
Te5 Te 0.7572 0.0151 0.2729
Te6 Te 0.2428 0.9849 0.7271
Te7 Te 0.2578 0.0151 0.2730
Te8 Te 0.7422 0.9849 0.7270
# **Calculated density**: 5.70 g cm⁻³
# **Formation energy from raw total energies**: -1019 meV/atom
# **Crystal system**: monoclinic